Density functional theory data (GGA-PBEsol) for crystalline NaLaMg30O32 at its relaxed geometry.

Structure (extended XYZ):
```
64
Lattice="8.5560 0.0000 0.0000 0.0000 8.5560 0.0000 0.0000 0.0000 8.5536" Properties=species:S:1:pos:R:3 pbc="T T T"
Na 0.0000 0.0000 0.0000
La 4.2780 4.2780 0.0000
Mg 0.0000 0.0000 4.2768
Mg 0.0000 2.1148 2.1352
Mg 0.0000 2.1148 6.4183
Mg 0.0000 4.2780 0.0000
Mg 0.0000 4.2780 4.2768
Mg 0.0000 6.4412 2.1352
Mg 0.0000 6.4412 6.4183
Mg 2.0500 2.0500 0.0000
Mg 2.0500 6.5059 0.0000
Mg 2.0606 4.2780 2.2046
Mg 2.0606 4.2780 6.3489
Mg 2.1148 0.0000 2.1352
Mg 2.1148 0.0000 6.4183
Mg 2.1233 2.1233 4.2768
Mg 2.1233 6.4327 4.2768
Mg 4.2780 0.0000 0.0000
Mg 4.2780 0.0000 4.2768
Mg 4.2780 2.0606 2.2046
Mg 4.2780 2.0606 6.3489
Mg 4.2780 4.2780 4.2768
Mg 4.2780 6.4953 2.2046
Mg 4.2780 6.4953 6.3489
Mg 6.4327 2.1233 4.2768
Mg 6.4327 6.4327 4.2768
Mg 6.4412 0.0000 2.1352
Mg 6.4412 0.0000 6.4183
Mg 6.4953 4.2780 2.2046
Mg 6.4953 4.2780 6.3489
Mg 6.5059 2.0500 0.0000
Mg 6.5059 6.5059 0.0000
O 0.0000 0.0000 2.2530
O 0.0000 0.0000 6.3006
O 0.0000 2.1545 4.2768
O 0.0000 2.2282 0.0000
O 0.0000 4.2780 2.1837
O 0.0000 4.2780 6.3699
O 0.0000 6.3278 0.0000
O 0.0000 6.4015 4.2768
O 1.9951 4.2780 0.0000
O 2.1213 4.2780 4.2768
O 2.1479 2.1479 2.1345
O 2.1479 2.1479 6.4191
O 2.1479 6.4081 2.1345
O 2.1479 6.4081 6.4191
O 2.1545 0.0000 4.2768
O 2.2282 0.0000 0.0000
O 4.2780 0.0000 2.1837
O 4.2780 0.0000 6.3699
O 4.2780 1.9951 0.0000
O 4.2780 2.1213 4.2768
O 4.2780 4.2780 2.2966
O 4.2780 4.2780 6.2570
O 4.2780 6.4347 4.2768
O 4.2780 6.5609 0.0000
O 6.3278 0.0000 0.0000
O 6.4015 0.0000 4.2768
O 6.4081 2.1479 2.1345
O 6.4081 2.1479 6.4191
O 6.4081 6.4081 2.1345
O 6.4081 6.4081 6.4191
O 6.4347 4.2780 4.2768
O 6.5609 4.2780 0.0000
```

Output
ΔE_f (raw), meV per atom: -2690
Total magnetic moment, μB/f.u.: 0.000
V, Å³/cell: 626

---

Density functional theory data (GGA-PBEsol) for crystalline NaLaMgTeO6 at its relaxed geometry.

Structure (extended XYZ):
```
20
Lattice="5.5725 0.0000 0.0000 0.0000 5.5369 0.0000 -0.0427 0.0000 7.8560" Properties=species:S:1:pos:R:3 pbc="T T T"
Na 1.2647 1.3842 7.8529
Na 4.2651 4.1527 0.0031
La 1.3394 1.3842 3.9399
La 4.1904 4.1527 3.9161
Mg 1.3958 4.1527 1.8279
Mg 4.1340 1.3842 6.0281
Te 1.3962 4.1527 5.9322
Te 4.1336 1.3842 1.9238
O 0.0570 2.7872 6.0106
O 0.0570 5.5182 6.0106
O 1.0397 4.1527 3.9690
O 1.8194 4.1527 7.7535
O 2.7373 2.8132 5.4752
O 2.7373 5.4922 5.4752
O 2.7925 0.0447 2.3807
O 2.7925 2.7237 2.3807
O 3.7104 1.3842 0.1025
O 4.4901 1.3842 3.8870
O 5.4728 0.0187 1.8454
O 5.4728 2.7497 1.8454
```

Output
Energy above the lowest structure with this stoichiometry, meV per atom: 0
ΔE_f (raw), meV per atom: -2242
Total magnetic moment, μB/f.u.: 0.000
V, Å³/cell: 242

---

Density functional theory data (GGA-PBEsol) for crystalline NaLaMgTeO6 at its relaxed geometry.

Structure (extended XYZ):
```
10
Lattice="4.7858 -2.7669 0.0000 4.7858 2.7669 0.0000 -3.2216 0.0000 4.5378" Properties=species:S:1:pos:R:3 pbc="T T T"
Na 0.0000 0.0000 0.0000
La 3.1214 0.0000 2.3589
Mg 6.3548 0.0000 1.1909
Te -0.0471 0.0000 3.4469
O -1.3072 0.0000 1.9952
O 1.0262 1.3369 2.5603
O 3.7024 1.4046 4.3335
O 4.4333 0.0000 0.3831
O 1.0262 -1.3369 2.5603
O 3.7024 -1.4046 4.3335
```

Output
Energy above the lowest structure with this stoichiometry, meV per atom: 17
ΔE_f (raw), meV per atom: -2225
Total magnetic moment, μB/f.u.: 0.000
V, Å³/cell: 120

---

Density functional theory data (GGA-PBEsol) for crystalline NaLaMgWO6 at its relaxed geometry.

Structure (extended XYZ):
```
20
Lattice="5.5175 0.0000 0.0000 0.0000 5.5175 0.0000 0.0000 0.0000 7.9248" Properties=species:S:1:pos:R:3 pbc="T T T"
Na 1.3794 4.1381 0.0000
Na 4.1381 1.3794 0.0000
La 1.3794 4.1381 3.9624
La 4.1381 1.3794 3.9624
Mg 1.3794 1.3794 1.9511
Mg 4.1381 4.1381 5.9737
W 1.3794 1.3794 6.0087
W 4.1381 4.1381 1.9160
O 0.0381 0.0381 5.7809
O 0.0381 2.7206 5.7809
O 1.3794 1.3794 3.9919
O 1.3794 1.3794 7.8494
O 2.7206 0.0381 5.7809
O 2.7206 2.7206 5.7809
O 2.7969 2.7969 2.1439
O 2.7969 5.4794 2.1439
O 4.1381 4.1381 0.0754
O 4.1381 4.1381 3.9329
O 5.4794 2.7969 2.1439
O 5.4794 5.4794 2.1439
```

Output
ΔE_f (raw), meV per atom: -2666
Total magnetic moment, μB/f.u.: 0.000
V, Å³/cell: 241

---

Density functional theory data (GGA-PBEsol) for crystalline LaMgNb3 at its relaxed geometry.

Structure (extended XYZ):
```
5
Lattice="4.8767 0.0000 0.0000 0.0000 4.8767 0.0000 0.0000 0.0000 4.8767" Properties=species:S:1:pos:R:3 pbc="T T T"
La 0.0000 0.0000 0.0000
Mg 2.4383 2.4383 2.4383
Nb 0.0000 0.0000 2.4383
Nb 0.0000 2.4383 0.0000
Nb 2.4383 0.0000 0.0000
```

Output
Total magnetic moment, μB/f.u.: 0.000
V, Å³/cell: 116
Calculated formation energy, kJ/mol of atoms: 153

---

Density functional theory data (GGA-PBEsol) for crystalline LaMgNbSb2 at its relaxed geometry.

Structure (extended XYZ):
```
5
Lattice="5.8941 0.0000 0.0000 0.0000 5.8941 0.0000 0.0000 0.0000 5.0791" Properties=species:S:1:pos:R:3 pbc="T T T"
La 0.0000 0.0000 0.0000
Mg 2.9470 2.9470 2.5396
Nb 0.0000 0.0000 2.5396
Sb 0.0000 2.9470 0.0000
Sb 2.9470 0.0000 0.0000
```

Output
ΔE_f (raw), meV per atom: 1213
Total magnetic moment, μB/f.u.: 1.278
V, Å³/cell: 176

---

Density functional theory data (GGA-PBEsol) for crystalline LaMgNb2Tl at its relaxed geometry.

Structure (extended XYZ):
```
5
Lattice="4.9227 0.0000 0.0000 0.0000 4.9227 0.0000 0.0000 0.0000 5.3669" Properties=species:S:1:pos:R:3 pbc="T T T"
La 0.0000 0.0000 0.0000
Mg 0.0000 0.0000 2.6835
Nb 0.0000 2.4614 2.6835
Nb 2.4614 0.0000 2.6835
Tl 2.4614 2.4614 0.0000
```

Output
Total magnetic moment, μB/f.u.: 1.237
V, Å³/cell: 130
Calculated formation energy, kJ/mol of atoms: 130

---

Density functional theory data (GGA-PBEsol) for crystalline LaMgNi2 at its relaxed geometry.

Structure (extended XYZ):
```
16
Lattice="6.5588 0.0000 0.0000 0.0000 6.5588 0.0000 0.0000 0.0000 6.5588" Properties=species:S:1:pos:R:3 pbc="T T T"
La 0.0000 0.0000 0.0000
La 0.0000 3.2794 3.2794
La 3.2794 0.0000 3.2794
La 3.2794 3.2794 0.0000
Mg 1.6397 1.6397 1.6397
Mg 1.6397 4.9191 4.9191
Mg 4.9191 1.6397 4.9191
Mg 4.9191 4.9191 1.6397
Ni 0.0000 0.0000 3.2794
Ni 0.0000 3.2794 0.0000
Ni 1.6397 1.6397 4.9191
Ni 1.6397 4.9191 1.6397
Ni 3.2794 0.0000 0.0000
Ni 3.2794 3.2794 3.2794
Ni 4.9191 1.6397 1.6397
Ni 4.9191 4.9191 4.9191
```

Output
Total magnetic moment, μB/f.u.: 0.000
V, Å³/cell: 282
Calculated formation energy, kJ/mol of atoms: 19